The following is a PBE+U calculation of a relaxed structure of Rb2U3WO12, from the Alexandria database.

Summary:
As for the electronic total energy: -456.98 eV/cell. Its density of states at the Fermi level is 28.3 states/eV/cell.

Lattice parameters (Å, degrees): 7.8796 7.8796 18.8456 90.00 90.00 120.00
Space group R-3m (No. 166, hexagonal axes)
Symmetry-distinct sites (fractional):
Rb: 0.0000 0.0000 0.1251 [6 per cell]
U: 0.0000 0.5000 0.0000 [9 per cell]
W: 0.0000 0.0000 0.5000 [3 per cell]
O: 0.0763 0.5382 0.3593 [18 per cell]
O: 0.0977 0.5489 0.1083 [18 per cell]